[1]
## Cd4CuRe (PBE)

Data for an optimized crystal structure of Cd4CuRe.

Geometry as POSCAR:
```
Cd4CuRe
1.0
0.000 3.900 3.900
3.900 0.000 3.900
3.900 3.900 0.000
Cd Cu Re
4 1 1
Cartesian
0.977 0.977 0.977
2.924 2.924 0.977
2.924 0.977 2.924
0.977 2.924 2.924
5.850 5.850 5.850
3.900 3.900 3.900
```

Computed properties:
The value obtained for the final energy is -2.50 eV per atom. Its space group is F-43m, No. 216. For the energy relative to the elements, the calculation gives 0.8697 eV/atom.

---

[2]
## BaSiO4 (PBE)

Data for an optimized crystal structure of BaSiO4.

Geometry as POSCAR:
```
BaSiO4
1.0
7.112 0.000 0.000
0.014 7.864 0.000
0.003 0.323 8.094
Ba Si O
4 4 16
Cartesian
0.625 2.043 2.026
2.942 2.212 6.073
4.188 5.975 2.022
6.505 6.144 6.069
0.632 5.973 2.021
2.948 6.146 6.068
4.182 2.041 2.026
6.498 2.214 6.073
0.310 2.077 4.735
0.311 2.351 7.411
1.552 7.320 2.146
1.551 4.626 1.897
2.029 7.494 6.186
2.029 4.799 5.951
3.256 1.897 0.689
3.256 2.185 3.363
3.874 6.002 4.732
3.874 6.291 7.406
5.101 3.388 2.143
5.101 0.694 1.908
5.579 3.561 6.197
5.578 0.868 5.948
6.818 5.836 0.684
6.820 6.110 3.360
```

Computed properties:
The value obtained for the final energy is -6.63 eV per atom. Its space group is P-1, No. 2. For the raw formation energy, the calculation gives -2.102 eV/atom.

---

[3]
## MgGeAu2 (PBE)

Data for an optimized crystal structure of MgGeAu2.

Geometry as POSCAR:
```
MgGeAu2
1.0
1.891 1.092 6.712
-1.891 1.092 6.712
0.000 -2.184 6.712
Mg Ge Au
1 1 2
Cartesian
0.000 0.000 0.000
0.000 0.000 16.775
0.000 0.000 8.477
0.000 0.000 11.658
```

Computed properties:
The value obtained for the final energy is -3.32 eV per atom. Its space group is R3m, No. 160. For the energy relative to the elements, the calculation gives -0.1324 eV/atom.

---

[4]
## LiCu2Pb (PBE)

Data for an optimized crystal structure of LiCu2Pb.

Geometry as POSCAR:
```
LiCu2Pb
1.0
3.523 0.000 0.000
0.000 4.188 0.000
-1.742 0.000 4.865
Li Cu Pb
1 2 1
Cartesian
0.000 0.000 0.000
0.010 0.000 2.817
0.022 2.094 4.118
1.766 2.094 1.912
```

Computed properties:
The value obtained for the final energy is -3.37 eV per atom. Its space group is Pm, No. 6. For the energy relative to the elements, the calculation gives 0.0852 eV/atom.

---

[5]
## LiPd2PtC (PBE)

Data for an optimized crystal structure of LiPd2PtC.

Geometry as POSCAR:
```
LiPd2PtC
1.0
4.206 0.000 0.000
0.000 4.206 0.000
0.000 0.000 4.018
Li Pd Pt C
1 2 1 1
Cartesian
0.000 0.000 0.000
0.000 2.103 2.009
2.103 0.000 2.009
2.103 2.103 0.000
2.103 2.103 2.009
```

Computed properties:
The value obtained for the final energy is -5.57 eV per atom. Its space group is P4/mmm, No. 123. For the energy relative to the elements, the calculation gives -0.0603 eV/atom.

---

[6]
## CaMo3 (PBE)

Data for an optimized crystal structure of CaMo3.

Geometry as POSCAR:
```
CaMo3
1.0
1.633 -2.310 0.000
1.633 2.310 0.000
0.000 0.000 9.612
Ca Mo
1 3
Cartesian
0.000 0.000 0.000
0.000 0.000 4.806
1.633 0.000 2.690
1.633 0.000 6.921
```

Computed properties:
The value obtained for the final energy is -8.15 eV per atom. Its space group is Cmmm, No. 65. The value obtained for the energy above the most stable polymorph in this dataset is 0 meV per atom. For the energy relative to the elements, the calculation gives 0.4732 eV/atom.

---

[7]
## K3Cu2H7 (PBE)

Data for an optimized crystal structure of K3Cu2H7.

Geometry as POSCAR:
```
K3Cu2H7
1.0
-1.894 1.894 10.357
1.894 -1.894 10.357
1.894 1.894 -10.357
K Cu H
3 2 7
Cartesian
0.000 0.000 0.000
0.000 0.000 3.686
0.000 0.000 17.028
0.000 0.000 8.520
0.000 0.000 12.193
1.894 0.000 1.796
0.000 0.000 6.811
1.894 0.000 8.560
0.000 0.000 10.357
0.000 1.894 1.796
0.000 0.000 13.902
0.000 1.894 8.560
```

Computed properties:
The value obtained for the final energy is -2.93 eV per atom. Its space group is I4/mmm, No. 139. The value obtained for the energy above the most stable polymorph in this dataset is 0 meV per atom.

---

[8]
## MnCu8Ni2 (PBE)

Data for an optimized crystal structure of MnCu8Ni2.

Geometry as POSCAR:
```
MnCu8Ni2
1.0
5.464 -3.240 0.000
5.464 3.240 0.000
-1.020 0.000 4.160
Mn Cu Ni
1 8 2
Cartesian
0.000 0.000 0.000
2.414 0.000 0.420
4.495 1.204 0.905
3.177 0.000 2.802
5.412 1.204 3.255
4.495 -1.204 0.905
6.730 0.000 1.358
5.412 -1.204 3.255
7.493 0.000 3.740
0.739 0.000 2.230
9.169 0.000 1.930
```

Computed properties:
The value obtained for the final energy is -4.56 eV per atom. Its space group is C2/m, No. 12. For the energy relative to the elements, the calculation gives 0.3067 eV/atom.

---

[9]
## La3Ag5H12 (PBE)

Data for an optimized crystal structure of La3Ag5H12.

Geometry as POSCAR:
```
La3Ag5H12
1.0
-6.355 6.355 6.355
6.355 -6.355 6.355
6.355 6.355 -6.355
La Ag H
12 20 48
Cartesian
3.178 1.589 0.000
6.355 3.178 -1.589
1.589 0.000 3.178
7.944 0.000 3.178
0.000 3.178 1.589
3.178 -1.589 6.355
3.178 7.944 0.000
6.355 3.178 4.766
-1.589 6.355 3.178
4.766 6.355 3.178
0.000 3.178 7.944
3.178 4.766 6.355
0.000 0.000 0.000
3.178 3.178 -3.178
3.178 -3.178 3.178
6.355 0.000 0.000
9.533 1.589 0.000
6.355 -3.178 4.766
4.766 6.355 -3.178
4.766 0.000 3.178
3.178 4.766 0.000
6.355 3.178 1.589
-3.178 3.178 3.178
0.000 6.355 0.000
0.000 0.000 6.355
3.178 3.178 3.178
0.000 3.178 4.766
3.178 1.589 6.355
1.589 6.355 3.178
1.589 0.000 9.533
0.000 9.533 1.589
-3.178 4.766 6.355
1.930 -0.348 0.726
7.603 3.903 -3.525
8.285 0.348 0.726
7.603 -2.452 3.525
6.007 -0.726 1.930
9.880 -1.248 2.452
0.726 1.930 -0.348
8.807 2.830 -1.248
3.903 3.525 -1.248
5.629 1.930 0.348
-0.348 0.726 1.930
3.525 -1.248 3.903
6.007 5.629 -1.930
3.525 1.248 2.452
3.903 -3.525 7.603
5.629 -1.930 6.007
2.452 3.525 1.248
7.081 4.425 0.348
3.525 7.603 -2.452
6.007 0.726 4.425
1.930 6.007 -0.726
7.603 2.452 2.830
1.248 2.452 3.525
1.930 0.348 5.629
4.425 6.007 0.726
5.108 3.903 2.830
-1.248 3.903 3.525
4.425 0.348 7.081
0.348 5.629 1.930
2.830 -1.248 8.807
-0.726 1.930 6.007
3.903 2.830 5.108
0.726 8.285 0.348
2.452 9.880 -1.248
2.830 5.108 3.903
0.348 0.726 8.285
2.830 7.603 2.452
6.703 5.629 4.425
0.726 4.425 6.007
2.452 2.830 7.603
-2.452 3.525 7.603
5.629 4.425 6.703
-3.525 7.603 3.903
0.348 7.081 4.425
-1.248 8.807 2.830
-1.930 6.007 5.629
-1.248 2.452 9.880
4.425 6.703 5.629
```

Computed properties:
The value obtained for the final energy is -3.62 eV per atom. Its space group is Ia-3d, No. 230.

---

Number 1: calculated density 9.787 g/cm3. Number 2: calculated density 3.366 g/cm3. Number 3: calculated density 9.801 g/cm3. Number 4: calculated density 7.895 g/cm3. Number 5: calculated density 9.973 g/cm3. Number 6: calculated density 7.505 g/cm3. Number 7: calculated density 2.811 g/cm3. Number 8: calculated density 7.674 g/cm3. Number 9: calculated density 6.264 g/cm3.